Entry from Alexandria: Cr3P5 after structural relaxation (PBE).

Cell: 8.268 8.268 6.029 Å, 90.00 90.00 90.00°
Space group I4cm (No. 108)
Unique sites:
Cr1 0.000 0.000 0.000 x4
Cr2 0.164 0.336 0.088 x8
P1 0.000 0.500 0.337 x4
P2 0.077 0.215 0.744 x16

Properties
Energy relative to the elements (eV per atom): -0.120
Offset from the most stable computed form (meV/atom): 0